First-principles (PBE+U) data for an optimized crystal structure of PuCoOsO6, as listed in Alexandria.

Results
Total moment ... 5.49 μB/cell
Calculated total energy ... -149.9 eV/cell
Volume ... 211.3 Å³/cell

Lattice parameters (Å, degrees): 5.2029 5.2029 9.0144 90.00 90.00 120.00
Positions (direct):
O  0.3060  0.9871  0.1219
O  0.6811  0.6940  0.1219
Os  0.0000  0.0000  0.5000
Pu  0.3333  0.6667  0.7500
O  0.6940  0.0129  0.8781
O  0.0129  0.6940  0.3781
O  0.0129  0.3189  0.1219
O  0.3189  0.0129  0.6219
Os  0.0000  0.0000  0.0000
O  0.3189  0.3060  0.8781
O  0.3060  0.3189  0.3781
O  0.6940  0.6811  0.6219
Co  0.6667  0.3333  0.7500
O  0.9871  0.3060  0.6219
O  0.9871  0.6811  0.8781
O  0.6811  0.9871  0.3781
Co  0.3333  0.6667  0.2500
Pu  0.6667  0.3333  0.2500